This record from Alexandria via LeMat-Bulk describes La2Ni3As4Ir after structural relaxation. The functional is PBE-GGA.

```
La2Ni3As4Ir
1.0
4.274 0.000 0.000
0.000 4.274 0.000
0.000 0.000 9.709
La Ni As Ir
2 3 4 1
direct
0.500 0.000 0.247 La
0.000 0.500 0.753 La
0.000 0.000 0.500 Ni
0.500 0.000 0.885 Ni
0.000 0.500 0.115 Ni
0.500 0.500 0.000 As
0.000 0.000 0.000 As
0.500 0.000 0.636 As
0.000 0.500 0.364 As
0.500 0.500 0.500 Ir
```

Values from the calculation:
Formation energy from the elements: -0.838 eV/atom
E: -6.304 eV/atom
SG: P-4m2 (115)
Theoretical density: 8.857 Mg/m³

This record from Alexandria via LeMat-Bulk describes LaNi2AsIr after structural relaxation. The functional is PBE-GGA.

```
LaNi2AsIr
1.0
4.510 0.000 0.000
0.000 5.443 0.000
0.000 0.000 4.510
Ni As Ir La
2 1 1 1
direct
0.000 0.000 0.500 Ni
0.500 0.000 0.000 Ni
0.000 0.500 0.000 As
0.500 0.500 0.500 Ir
0.000 0.000 0.000 La
```

Values from the calculation:
Formation energy from the elements: 1.611 eV/atom
E: -4.389 eV/atom
SG: P4/mmm (123)
Theoretical density: 7.853 Mg/m³

This record from Alexandria via LeMat-Bulk describes La2NpAs4Ir3 after structural relaxation. The functional is PBE-GGA.

```
La2NpAs4Ir3
1.0
-3.208 2.975 0.188
-0.852 -1.179 4.130
7.140 7.471 3.606
La Np As Ir
2 1 4 3
direct
0.500 0.000 0.225 La
0.000 0.500 0.775 La
0.500 0.500 0.500 Np
0.500 0.500 0.000 As
0.000 0.000 0.000 As
0.500 0.000 0.666 As
0.000 0.500 0.334 As
0.000 0.000 0.500 Ir
0.500 0.000 0.893 Ir
0.000 0.500 0.107 Ir
```

Values from the calculation:
Formation energy from the elements: -0.733 eV/atom
E: -7.531 eV/atom
SG: P-4m2 (115)
Theoretical density: 11.008 Mg/m³

This record from Alexandria via LeMat-Bulk describes LaAs2IrO8 after structural relaxation. The functional is PBE-GGA.

```
LaAs2IrO8
1.0
5.444 0.000 0.000
-2.722 4.715 0.000
0.000 0.000 7.035
La As Ir O
1 2 1 8
direct
0.000 0.000 0.500 La
0.667 0.333 0.262 As
0.333 0.667 0.738 As
0.000 0.000 0.000 Ir
0.845 0.155 0.203 O
0.845 0.689 0.203 O
0.311 0.155 0.203 O
0.689 0.845 0.797 O
0.333 0.667 0.497 O
0.667 0.333 0.503 O
0.155 0.845 0.797 O
0.155 0.311 0.797 O
```

Values from the calculation:
E: -6.697 eV/atom
SG: P-3m1 (164)
Theoretical density: 5.600 Mg/m³
Formation energy (no corrections): -1.467 eV per atom

This record from Alexandria via LeMat-Bulk describes La2As3PIr4 after structural relaxation. The functional is PBE-GGA.

```
La2As3PIr4
1.0
-1.357 -2.319 3.386
-1.532 -3.022 -2.683
8.762 -4.701 0.292
La As P Ir
2 3 1 4
direct
0.500 0.000 0.259 La
0.000 0.500 0.741 La
0.000 0.000 0.500 As
0.500 0.000 0.859 As
0.000 0.500 0.141 As
0.500 0.500 0.500 P
0.500 0.500 0.000 Ir
0.000 0.000 0.000 Ir
0.500 0.000 0.609 Ir
0.000 0.500 0.391 Ir
```

Values from the calculation:
Formation energy from the elements: -0.859 eV/atom
E: -7.324 eV/atom
SG: P-4m2 (115)
Theoretical density: 11.638 Mg/m³

This record from Alexandria via LeMat-Bulk describes La2AsP3Ir4 after structural relaxation. The functional is PBE-GGA.

```
La2AsP3Ir4
1.0
-1.282 2.884 2.818
-0.423 -3.037 2.915
9.324 1.398 2.810
La As P Ir
2 1 3 4
direct
0.500 0.000 0.253 La
0.000 0.500 0.747 La
0.500 0.500 0.500 As
0.000 0.000 0.500 P
0.500 0.000 0.863 P
0.000 0.500 0.137 P
0.500 0.500 0.000 Ir
0.000 0.000 0.000 Ir
0.500 0.000 0.622 Ir
0.000 0.500 0.378 Ir
```

Values from the calculation:
Formation energy from the elements: -0.941 eV/atom
E: -7.559 eV/atom
SG: P-4m2 (115)
Theoretical density: 11.454 Mg/m³

This record from Alexandria via LeMat-Bulk describes La2As4Ir3Pd after structural relaxation. The functional is PBE-GGA.

```
La2As4Ir3Pd
1.0
4.427 0.000 0.000
0.000 4.427 0.000
0.000 0.000 9.847
La As Ir Pd
2 4 3 1
direct
0.500 0.000 0.246 La
0.000 0.500 0.754 La
0.500 0.500 0.000 As
0.000 0.000 0.000 As
0.500 0.000 0.636 As
0.000 0.500 0.364 As
0.000 0.000 0.500 Ir
0.500 0.000 0.886 Ir
0.000 0.500 0.114 Ir
0.500 0.500 0.500 Pd
```

Values from the calculation:
Formation energy from the elements: -0.845 eV/atom
E: -6.867 eV/atom
SG: P-4m2 (115)
Theoretical density: 10.847 Mg/m³

This record from Alexandria via LeMat-Bulk describes La2As3Ir4Pd after structural relaxation. The functional is PBE-GGA.

```
La2As3Ir4Pd
1.0
-2.930 -3.076 -0.025
1.801 -1.744 3.430
-6.197 5.853 6.230
La As Ir Pd
2 3 4 1
direct
0.500 0.000 0.259 La
0.000 0.500 0.741 La
0.000 0.000 0.500 As
0.500 0.000 0.867 As
0.000 0.500 0.133 As
0.500 0.500 0.000 Ir
0.000 0.000 0.000 Ir
0.500 0.000 0.642 Ir
0.000 0.500 0.358 Ir
0.500 0.500 0.500 Pd
```

Values from the calculation:
Formation energy from the elements: -0.699 eV/atom
E: -7.143 eV/atom
SG: P-4m2 (115)
Theoretical density: 12.007 Mg/m³